# 1
Material: ZrBe2Cd
Method: DFT, GGA-PBE
State: relaxed

a = 3.940 Å, b = 3.028 Å, c = 5.549 Å
α = 89.94°, β = 90.00°, γ = 90.00°
Fractional coordinates of all 4 atoms:
Be: 0.000 0.249 0.950
Cd: 0.500 0.250 0.250
Be: 0.000 0.251 0.550
Zr: 0.500 0.750 0.750

E: -4.0486 eV per atom
Crystal system: orthorhombic

# 2
Material: Pr4TlCd2In
Method: DFT, GGA-PBE
State: relaxed

a = 5.525 Å, b = 5.525 Å, c = 9.570 Å
α = 73.22°, β = 73.22°, γ = 60.00°
Fractional coordinates of all 8 atoms:
Cd: 0.249 0.249 0.252
Cd: 0.751 0.751 0.748
Pr: 0.125 0.125 0.624
Pr: 0.875 0.875 0.376
Pr: 0.375 0.375 0.874
In: 0.500 0.500 0.500
Tl: 0.000 0.000 0.000
Pr: 0.625 0.625 0.126

E: -3.6453 eV per atom
Crystal system: trigonal

# 3
Material: LaZrNi
Method: DFT, GGA-PBE
State: relaxed

a = 6.479 Å, b = 6.478 Å, c = 3.401 Å
α = 74.79°, β = 74.78°, γ = 30.44°
Fractional coordinates of all 3 atoms:
Ni: 0.301 0.301 0.699
Zr: 0.711 0.711 0.289
La: 0.988 0.988 0.012

Crystal system: tetragonal
Energy relative to the lowest polymorph listed for this composition: 0 meV per atom

# 4
Material: HW2N
Method: DFT, GGA-PBE
State: relaxed

a = 3.858 Å, b = 3.858 Å, c = 3.858 Å
α = 60.00°, β = 60.00°, γ = 60.00°
Fractional coordinates of all 4 atoms:
N: 0.500 0.500 0.500
H: 0.000 0.000 0.000
W: 0.250 0.250 0.250
W: 0.750 0.750 0.750

Crystal system: cubic
Energy relative to the lowest polymorph listed for this composition: 830 meV per atom

# 5
Material: YFeH2N
Method: DFT, GGA-PBE
State: relaxed

a = 3.478 Å, b = 3.478 Å, c = 3.742 Å
α = 90.00°, β = 90.00°, γ = 90.00°
Fractional coordinates of all 5 atoms:
Fe: 0.000 0.000 0.000
H: 0.000 0.500 0.000
Y: 0.500 0.500 0.500
N: 0.000 0.000 0.500
H: 0.500 0.000 0.000

E: -6.6288 eV per atom
Crystal system: tetragonal

# 6
Material: PmHoPuSc
Method: DFT, GGA-PBE
State: relaxed

a = 5.495 Å, b = 5.495 Å, c = 5.495 Å
α = 60.00°, β = 60.00°, γ = 60.00°
Fractional coordinates of all 4 atoms:
Ho: 0.500 0.500 0.500
Pm: 0.250 0.250 0.250
Pu: 0.750 0.750 0.750
Sc: 0.000 0.000 0.000

E: -7.3029 eV per atom
Crystal system: cubic

# 7
Material: Sr4Ge2F
Method: DFT, GGA-PBE
State: relaxed

a = 4.955 Å, b = 4.955 Å, c = 9.291 Å
α = 105.47°, β = 105.47°, γ = 90.00°
Fractional coordinates of all 7 atoms:
Sr: 0.000 0.500 0.000
F: 0.000 0.000 0.000
Ge: 0.371 0.371 0.742
Sr: 0.185 0.185 0.369
Sr: 0.815 0.815 0.631
Ge: 0.629 0.629 0.258
Sr: 0.500 0.000 0.000

Formation energy without anion corrections: -793 kJ/mol of formula units
Crystal system: tetragonal
Energy relative to the lowest polymorph listed for this composition: 5 meV per atom

# 8
Material: PrHoGa
Method: DFT, GGA-PBE
State: relaxed

a = 4.501 Å, b = 8.011 Å, c = 8.011 Å
α = 120.00°, β = 90.00°, γ = 90.00°
Fractional coordinates of all 9 atoms:
Pr: 0.500 0.398 0.398
Ho: 0.000 0.734 0.734
Ga: 0.500 0.000 0.000
Pr: 0.500 0.602 0.000
Ho: 0.000 0.000 0.266
Ga: 0.000 0.333 0.667
Ga: 0.000 0.667 0.333
Ho: 0.000 0.266 0.000
Pr: 0.500 0.000 0.602

Crystal system: hexagonal
Energy relative to the lowest polymorph listed for this composition: 0 meV per atom